Record 1
Density functional theory data (GGA-PBE) for a geometry-optimized Ca2FeMo structure.

Summary:
E above lowest polymorph ... 52.69 kJ/mol of atoms

Unit cell a=4.8942 b=4.8942 c=4.8942 alpha=60.00 beta=60.00 gamma=60.00
Fractional coordinates of all 4 atoms:
Ca  0.0000  0.0000  0.0000
Ca  0.2500  0.2500  0.2500
Fe  0.7500  0.7500  0.7500
Mo  0.5000  0.5000  0.5000


Record 2
Density functional theory data (GGA-PBE) for a geometry-optimized Ca3FeMo structure.

Summary:
E above lowest polymorph ... 0.00 kJ/mol of atoms

Unit cell a=5.2889 b=5.2889 c=5.2889 alpha=90.00 beta=90.00 gamma=90.00
Fractional coordinates of all 5 atoms:
Ca  0.0000  0.0000  0.5000
Ca  0.0000  0.5000  0.0000
Ca  0.5000  0.0000  0.0000
Fe  0.0000  0.0000  0.0000
Mo  0.5000  0.5000  0.5000


Record 3
Density functional theory data (GGA-PBE) for a geometry-optimized Ca2FeMo structure.

Summary:
E above lowest polymorph ... 52.80 kJ/mol of atoms

Unit cell a=2.8678 b=4.8807 c=5.9464 alpha=90.00 beta=90.00 gamma=90.00
Fractional coordinates of all 4 atoms:
Ca  0.0000  0.0000  0.2495
Ca  0.0000  0.0000  0.7505
Fe  0.5000  0.5000  0.0000
Mo  0.5000  0.5000  0.5000


Record 4
Density functional theory data (GGA-PBE) for a geometry-optimized Ca2FeMo structure.

Summary:
E above lowest polymorph ... 57.92 kJ/mol of atoms

Unit cell a=4.1512 b=4.1512 c=4.8101 alpha=90.00 beta=90.00 gamma=90.00
Fractional coordinates of all 4 atoms:
Ca  0.0000  0.5000  0.0000
Ca  0.5000  0.0000  0.0000
Fe  0.0000  0.0000  0.5000
Mo  0.5000  0.5000  0.5000


Record 5
Density functional theory data (GGA-PBE) for a geometry-optimized CaFe2Mo structure.

Summary:
Total energy ... -6.87 eV per atom

Unit cell a=5.5985 b=5.5985 c=5.5985 alpha=151.43 beta=129.71 gamma=58.86
Fractional coordinates of all 4 atoms:
Ca  0.0000  0.0000  0.0000
Fe  0.2809  0.7809  0.5000
Fe  0.4811  0.4811  0.0000
Mo  0.7067  0.2067  0.5000


Record 6
Density functional theory data (GGA-PBE) for a geometry-optimized Ca2FeMo structure.

Summary:
E above lowest polymorph ... 14.44 kJ/mol of atoms

Unit cell a=8.8144 b=8.8144 c=8.8144 alpha=158.71 beta=156.51 gamma=31.91
Fractional coordinates of all 4 atoms:
Ca  0.1512  0.1512  0.0000
Ca  0.8488  0.8488  0.0000
Fe  0.0000  0.5000  0.5000
Mo  0.5000  0.0000  0.5000


Record 7
Density functional theory data (GGA-PBE) for a geometry-optimized Ca3FeMo structure.

Summary:
E above lowest polymorph ... 13.74 kJ/mol of atoms

Unit cell a=5.4896 b=5.4896 c=5.4896 alpha=90.00 beta=90.00 gamma=90.00
Fractional coordinates of all 5 atoms:
Ca  0.0000  0.0000  0.5000
Ca  0.0000  0.5000  0.0000
Ca  0.5000  0.0000  0.0000
Fe  0.5000  0.5000  0.5000
Mo  0.0000  0.0000  0.0000


Record 8
Density functional theory data (GGA-PBE) for a geometry-optimized CaFe2Mo structure.

Summary:
Total energy ... -6.81 eV per atom

Unit cell a=4.3777 b=4.3777 c=4.3777 alpha=60.00 beta=60.00 gamma=60.00
Fractional coordinates of all 4 atoms:
Ca  0.0000  0.0000  0.0000
Fe  0.2500  0.2500  0.2500
Fe  0.7500  0.7500  0.7500
Mo  0.5000  0.5000  0.5000


Record 9
Density functional theory data (GGA-PBE) for a geometry-optimized CaFeMo structure.

Summary:
E above lowest polymorph ... 151.57 kJ/mol of atoms

Unit cell a=4.6630 b=4.6630 c=4.6630 alpha=60.00 beta=60.00 gamma=60.00
Fractional coordinates of all 3 atoms:
Ca  0.0000  0.0000  0.0000
Fe  0.2500  0.2500  0.2500
Mo  0.7500  0.7500  0.7500


Record 10
Density functional theory data (GGA-PBE) for a geometry-optimized CaFe2Mo structure.

Summary:
Total energy ... -6.60 eV per atom

Unit cell a=5.1833 b=5.1833 c=5.1833 alpha=137.16 beta=137.16 gamma=62.20
Fractional coordinates of all 4 atoms:
Ca  0.0000  0.0000  0.0000
Fe  0.2500  0.7500  0.5000
Fe  0.5000  0.5000  0.0000
Mo  0.7500  0.2500  0.5000


Record 11
Density functional theory data (GGA-PBE) for a geometry-optimized CaFeMo3 structure.

Summary:
E above lowest polymorph ... 195.15 kJ/mol of atoms

Unit cell a=4.5117 b=4.5117 c=4.5117 alpha=90.00 beta=90.00 gamma=90.00
Fractional coordinates of all 5 atoms:
Ca  0.0000  0.0000  0.0000
Fe  0.5000  0.5000  0.5000
Mo  0.0000  0.0000  0.5000
Mo  0.0000  0.5000  0.0000
Mo  0.5000  0.0000  0.0000


Record 12
Density functional theory data (GGA-PBE) for a geometry-optimized Ca2FeMo structure.

Summary:
E above lowest polymorph ... 4.50 kJ/mol of atoms

Unit cell a=3.2327 b=3.2327 c=8.9034 alpha=90.00 beta=90.00 gamma=90.00
Fractional coordinates of all 4 atoms:
Ca  0.0000  0.0000  0.0000
Ca  0.5000  0.5000  0.3874
Fe  0.0000  0.0000  0.6335
Mo  0.5000  0.5000  0.7366